TmGa2Ag5: optimized geometry, PBE-GGA.

The calculation puts the total magnetic moment at 0.00 μB/f.u. For the density of states at the Fermi level, the calculation gives 2.87 states/eV per cell. The calculation puts the formation energy at -157 meV per atom.

The structure in POSCAR format:
```
TmGa2Ag5
1.0
3.2444 0.0000 0.0000
1.6222 6.8957 -0.2665
1.6222 1.8205 6.6564
Tm Ga Ag
1 2 5
Direct
0.0000 0.0000 0.0000 Tm
0.7462 0.7538 0.7538 Ga
0.2538 0.2462 0.2462 Ga
0.0000 0.5000 0.5000 Ag
0.6338 0.5922 0.1401 Ag
0.3662 0.4078 0.8599 Ag
0.3662 0.8599 0.4078 Ag
0.6338 0.1401 0.5922 Ag
```


MgZr2TiNb: optimized geometry, PBE-GGA.

The calculation puts the total magnetic moment at 0.45 μB/f.u. For the density of states at the Fermi level, the calculation gives 8.63 states/eV per cell. The calculation puts the formation energy at 823 meV per atom.

The structure in POSCAR format:
```
MgZr2TiNb
1.0
5.0374 0.0000 0.0000
0.0000 5.0374 0.0000
0.0000 0.0000 4.7300
Nb Mg Zr Ti
1 1 2 1
Direct
0.0000 0.0000 0.5000 Nb
0.5000 0.5000 0.5000 Mg
0.0000 0.5000 0.0000 Zr
0.5000 0.0000 0.0000 Zr
0.0000 0.0000 0.0000 Ti
```


Cu2ReAu: optimized geometry, PBE-GGA.

The calculation puts the total magnetic moment at 1.69 μB/f.u. The energy above the most stable polymorph in this dataset comes out at 1.607 eV per formula unit. For the density of states at the Fermi level, the calculation gives 4.01 states/eV per cell. The calculation puts the formation energy at 611 meV per atom.

The structure in POSCAR format:
```
Cu2ReAu
1.0
4.3598 0.0000 0.0000
2.1799 3.7757 0.0000
2.1799 1.2586 3.5597
Au Cu Re
1 2 1
Direct
0.5000 0.5000 0.5000 Au
0.0000 0.0000 0.0000 Cu
0.2500 0.2500 0.2500 Cu
0.7500 0.7500 0.7500 Re
```


Sc3SbC: optimized geometry, PBE-GGA.

The calculation puts the total magnetic moment at 1.14 μB/f.u. For the density of states at the Fermi level, the calculation gives 4.60 states/eV per cell. Its total energy is -6.527 eV per atom.

The structure in POSCAR format:
```
Sc3SbC
1.0
5.6958 0.0000 0.0000
0.0000 5.6958 0.0000
2.8479 2.8479 6.7044
Sc Sb C
6 2 2
Direct
0.1520 0.8927 0.2146 Sc
0.1073 0.8480 0.7854 Sc
0.1073 0.3666 0.7854 Sc
0.6334 0.8927 0.2146 Sc
0.3047 0.3047 0.3907 Sc
0.6953 0.6953 0.6093 Sc
0.6120 0.1120 0.7761 Sb
0.8880 0.3880 0.2239 Sb
0.0000 0.0000 0.0000 C
0.2500 0.7500 0.5000 C
```


BaCoTc3: optimized geometry, PBE-GGA.

The calculation puts the total magnetic moment at 1.42 μB/f.u. The energy above the most stable polymorph in this dataset comes out at 0.000 eV per formula unit. For the density of states at the Fermi level, the calculation gives 10.12 states/eV per cell. The calculation puts the formation energy at 1299 meV per atom.

The structure in POSCAR format:
```
BaCoTc3
1.0
-3.0010 -3.4186 0.9482
3.5261 -3.0108 0.3049
0.3901 0.9164 4.5387
Co Ba Tc
1 1 3
Direct
0.0000 0.0000 0.0000 Co
0.5000 0.5000 0.5000 Ba
0.0000 0.5000 0.0000 Tc
0.0000 0.0000 0.5000 Tc
0.5000 0.0000 0.0000 Tc
```


K2Tl4Cd3: optimized geometry, PBE-GGA.

The calculation puts the total magnetic moment at 0.00 μB/f.u. For the density of states at the Fermi level, the calculation gives 5.07 states/eV per cell. The calculation puts the formation energy at -76 meV per atom.

The structure in POSCAR format:
```
K2Tl4Cd3
1.0
5.8020 0.0000 2.1658
2.9010 5.6517 1.0829
0.0782 0.0000 8.6449
K Tl Cd
2 4 3
Direct
0.6347 0.0000 0.7306 K
0.3653 0.0000 0.2694 K
0.0009 0.6661 0.3320 Tl
0.6670 0.3339 0.3320 Tl
0.9991 0.3339 0.6680 Tl
0.3330 0.6661 0.6680 Tl
0.0000 0.5000 0.0000 Cd
0.0000 0.0000 0.0000 Cd
0.5000 0.5000 0.0000 Cd
```